{
  "formula": "LiLa4Nd5",
  "functional": "PBE",
  "state": "optimized geometry",
  "e_form_ev_per_atom": 0.028,
  "energy_ev_per_atom": -4.5180,
  "dos_ef_per_ev_cell": 14.7,
  "lattice_angstrom": [[3.725, 0.000, 0.000], [0.000, 3.725, 0.000], [0.000, 0.000, 24.814]],
  "species": ["Li", "La", "La", "La", "La", "Nd", "Nd", "Nd", "Nd", "Nd"],
  "fractional_positions": [[0.000, 0.000, 0.000], [0.000, 0.000, 0.184], [0.000, 0.000, 0.395], [0.000, 0.000, 0.605], [0.000, 0.000, 0.816], [0.500, 0.500, 0.081], [0.500, 0.500, 0.289], [0.500, 0.500, 0.500], [0.500, 0.500, 0.711], [0.500, 0.500, 0.919]]
}

=====

{
  "formula": "LiLa4Nd",
  "functional": "PBE",
  "state": "optimized geometry",
  "e_form_ev_per_atom": 0.036,
  "energy_ev_per_atom": -4.3621,
  "dos_ef_per_ev_cell": 9.1,
  "lattice_angstrom": [[3.729, 0.000, 0.000], [0.000, 3.729, 0.000], [0.000, 0.000, 14.570]],
  "species": ["Li", "La", "La", "La", "La", "Nd"],
  "fractional_positions": [[0.000, 0.000, 0.000], [0.000, 0.000, 0.320], [0.000, 0.000, 0.680], [0.500, 0.500, 0.150], [0.500, 0.500, 0.850], [0.500, 0.500, 0.500]]
}

=====

{
  "formula": "LiLa14Nd",
  "functional": "PBE",
  "state": "optimized geometry",
  "e_form_ev_per_atom": 0.025,
  "energy_ev_per_atom": -4.7041,
  "dos_ef_per_ev_cell": 24.7,
  "lattice_angstrom": [[7.355, 0.000, 0.000], [0.000, 7.355, 0.000], [0.000, 0.000, 10.535]],
  "species": ["Li", "La", "La", "La", "La", "La", "La", "La", "La", "La", "La", "La", "La", "La", "La", "Nd"],
  "fractional_positions": [[0.000, 0.000, 0.000], [0.000, 0.000, 0.500], [0.000, 0.500, 0.000], [0.000, 0.500, 0.500], [0.248, 0.248, 0.248], [0.248, 0.248, 0.752], [0.248, 0.752, 0.248], [0.248, 0.752, 0.752], [0.500, 0.000, 0.000], [0.500, 0.000, 0.500], [0.500, 0.500, 0.500], [0.752, 0.248, 0.248], [0.752, 0.248, 0.752], [0.752, 0.752, 0.248], [0.752, 0.752, 0.752], [0.500, 0.500, 0.000]]
}

=====

{
  "formula": "Li4LaNd",
  "functional": "PBE",
  "state": "optimized geometry",
  "e_form_ev_per_atom": 0.105,
  "energy_ev_per_atom": -2.7871,
  "dos_ef_per_ev_cell": 6.4,
  "lattice_angstrom": [[0.000, 4.259, 4.259], [4.259, 0.000, 4.259], [4.259, 4.259, 0.000]],
  "species": ["Li", "Li", "Li", "Li", "La", "Nd"],
  "fractional_positions": [[0.125, 0.125, 0.125], [0.125, 0.125, 0.626], [0.125, 0.626, 0.125], [0.626, 0.125, 0.125], [0.500, 0.500, 0.500], [0.750, 0.750, 0.750]]
}

=====

{
  "formula": "LiLa6Nd",
  "functional": "PBE",
  "state": "optimized geometry",
  "e_form_ev_per_atom": 0.097,
  "energy_ev_per_atom": -4.4342,
  "dos_ef_per_ev_cell": 27.0,
  "lattice_angstrom": [[5.932, 0.000, 0.000], [0.000, 5.932, 0.000], [0.000, 0.000, 15.846]],
  "species": ["Li", "Li", "La", "La", "La", "La", "La", "La", "La", "La", "La", "La", "La", "La", "Nd", "Nd"],
  "fractional_positions": [[0.000, 0.000, 0.000], [0.500, 0.500, 0.500], [0.000, 0.000, 0.264], [0.000, 0.000, 0.736], [0.000, 0.500, 0.113], [0.000, 0.500, 0.387], [0.000, 0.500, 0.613], [0.000, 0.500, 0.887], [0.500, 0.000, 0.113], [0.500, 0.000, 0.387], [0.500, 0.000, 0.613], [0.500, 0.000, 0.887], [0.500, 0.500, 0.236], [0.500, 0.500, 0.764], [0.000, 0.000, 0.500], [0.500, 0.500, 0.000]]
}

=====

{
  "formula": "LiLaNdNi",
  "functional": "PBE",
  "state": "optimized geometry",
  "e_form_ev_per_atom": -0.035,
  "energy_ev_per_atom": -4.3825,
  "dos_ef_per_ev_cell": 12.8,
  "lattice_angstrom": [[7.263, 0.000, 0.000], [0.000, 7.263, 0.000], [0.000, 0.000, 7.263]],
  "species": ["Li", "Li", "Li", "Li", "La", "La", "La", "La", "Nd", "Nd", "Nd", "Nd", "Ni", "Ni", "Ni", "Ni"],
  "fractional_positions": [[0.000, 0.000, 0.000], [0.000, 0.500, 0.500], [0.500, 0.000, 0.500], [0.500, 0.500, 0.000], [0.250, 0.250, 0.250], [0.250, 0.750, 0.750], [0.750, 0.250, 0.750], [0.750, 0.750, 0.250], [0.250, 0.250, 0.750], [0.250, 0.750, 0.250], [0.750, 0.250, 0.250], [0.750, 0.750, 0.750], [0.000, 0.000, 0.500], [0.000, 0.500, 0.000], [0.500, 0.000, 0.000], [0.500, 0.500, 0.500]]
}

=====

{
  "formula": "Li2La3NdSb2O12",
  "functional": "PBE",
  "state": "optimized geometry",
  "energy_ev_per_atom": -7.1839,
  "e_form_raw_ev_per_atom": -2.628,
  "dos_ef_per_ev_cell": 0.0,
  "lattice_angstrom": [[5.631, 0.000, 0.000], [0.012, 5.844, 0.000], [0.079, 0.002, 8.032]],
  "species": ["Li", "Li", "La", "La", "La", "Nd", "Sb", "Sb", "O", "O", "O", "O", "O", "O", "O", "O", "O", "O", "O", "O"],
  "fractional_positions": [[0.000, 0.000, 0.000], [0.493, 0.502, 0.495], [0.011, 0.444, 0.748], [0.483, 0.946, 0.747], [0.981, 0.553, 0.245], [0.514, 0.059, 0.250], [0.494, 0.499, 0.999], [0.999, 0.998, 0.495], [0.104, 0.964, 0.257], [0.184, 0.712, 0.552], [0.204, 0.688, 0.950], [0.286, 0.188, 0.544], [0.307, 0.214, 0.943], [0.397, 0.460, 0.239], [0.594, 0.534, 0.759], [0.678, 0.785, 0.055], [0.710, 0.810, 0.445], [0.780, 0.305, 0.048], [0.807, 0.280, 0.439], [0.900, 0.032, 0.736]]
}

=====

{
  "formula": "Li2LaNdP2",
  "functional": "PBE",
  "state": "optimized geometry",
  "e_form_ev_per_atom": -1.023,
  "energy_ev_per_atom": -5.0803,
  "dos_ef_per_ev_cell": 3.8,
  "lattice_angstrom": [[4.192, 0.000, 0.000], [-2.096, 3.630, 0.000], [0.000, 0.000, 7.980]],
  "species": ["Li", "Li", "La", "Nd", "P", "P"],
  "fractional_positions": [[0.333, 0.667, 0.245], [0.667, 0.333, 0.755], [0.000, 0.000, 0.500], [0.000, 0.000, 0.000], [0.333, 0.667, 0.757], [0.667, 0.333, 0.243]]
}